VASP calculation (PBE-GGA) on Na2ZrAuS4 after structural relaxation.

Structure (POSCAR):
```
Na2ZrAuS4
1.0
-5.094 -0.752 3.813
-1.352 -5.352 2.521
0.342 0.824 6.003
S Au Zr Na
4 1 1 2
direct
0.578 0.000 0.372
0.050 0.372 0.000
0.950 0.000 0.628
0.422 0.628 0.000
0.500 0.000 0.000
0.000 0.000 0.000
0.500 0.500 0.500
0.000 0.500 0.500
```

Formation energy without anion corrections ... -0.87 eV per atom
Space-group type ... I-42m